1.
TiTlCr3: optimized geometry, GGA-PBE.

Cell: 4.393 4.393 4.393 Å, 90.00 90.00 90.00°
Site moments in Bohr magnetons follow the coordinates.
Fractional positions:
Cr 0.500 0.000 0.000  0.50
Cr 0.000 0.500 0.000  0.36
Tl 0.500 0.500 0.500  -0.03
Cr 0.000 0.000 0.500  0.37
Ti 0.000 0.000 0.000  -0.12

Output
energy of formation from the pure elements	1.45	eV per atom
calculated volume	16.955	A^3/atom
total magnetic moment	1.10	μB/f.u.


2.
TiTl2Cr: optimized geometry, GGA-PBE.

Cell: 7.520 7.520 6.069 Å, 51.72 51.72 90.00°
Fractional positions:
Cr 0.750 0.250 0.500
Ti 0.500 0.500 0.000
Cr 0.000 0.000 0.000
Tl 0.375 0.360 0.750
Tl 0.875 0.890 0.750
Ti 0.250 0.750 0.500
Tl 0.110 0.625 0.250
Tl 0.640 0.125 0.250

Output
energy of formation from the pure elements	0.87	eV per atom
energy relative to the lowest polymorph listed for this composition	438	meV/atom
calculated volume	20.683	A^3/atom
total magnetic moment	0.00	μB/f.u.


3.
Ti6TlCr: optimized geometry, GGA-PBE.

Cell: 4.629 4.629 7.763 Å, 72.65 72.65 60.00°
Site moments in Bohr magnetons follow the coordinates.
Fractional positions:
Ti 0.758 0.758 0.727  0.54
Ti 0.242 0.242 0.273  0.54
Tl 0.500 0.500 0.500  -0.01
Cr 0.000 0.000 0.000  -0.09
Ti 0.367 0.367 0.898  0.11
Ti 0.895 0.895 0.316  0.16
Ti 0.105 0.105 0.684  0.16
Ti 0.633 0.633 0.102  0.11

Output
energy of formation from the pure elements	0.09	eV per atom
calculated volume	16.908	A^3/atom
total magnetic moment	1.87	μB/f.u.


4.
TiTlCr2: optimized geometry, GGA-PBE.

Cell: 3.870 3.870 9.678 Å, 78.47 78.47 90.00°
Fractional positions:
Ti 0.250 0.750 0.500
Tl 0.000 0.000 0.000
Ti 0.500 0.500 0.000
Cr 0.205 0.625 0.250
Cr 0.875 0.795 0.750
Tl 0.750 0.250 0.500
Cr 0.375 0.455 0.750
Cr 0.545 0.125 0.250

Output
energy of formation from the pure elements	0.89	eV per atom
energy relative to the lowest polymorph listed for this composition	443	meV/atom
calculated volume	17.379	A^3/atom
total magnetic moment	0.00	μB/f.u.


5.
TiTlCr2: optimized geometry, GGA-PBE.

Cell: 4.528 4.528 4.528 Å, 60.00 60.00 60.00°
Site moments in Bohr magnetons follow the coordinates.
Fractional positions:
Ti 0.000 0.000 0.000  -0.59
Tl 0.500 0.500 0.500  -0.04
Cr 0.250 0.250 0.250  2.52
Cr 0.750 0.750 0.750  2.52

Output
energy of formation from the pure elements	0.45	eV per atom
energy relative to the lowest polymorph listed for this composition	0	meV/atom
calculated volume	16.407	A^3/atom
total magnetic moment	4.74	μB/f.u.


6.
TiTl2Cr: optimized geometry, GGA-PBE.

Cell: 4.845 4.845 4.845 Å, 60.00 60.00 60.00°
Site moments in Bohr magnetons follow the coordinates.
Fractional positions:
Tl 0.750 0.750 0.750  -0.03
Tl 0.250 0.250 0.250  -0.03
Ti 0.000 0.000 0.000  -1.23
Cr 0.500 0.500 0.500  3.40

Output
energy of formation from the pure elements	0.43	eV per atom
energy relative to the lowest polymorph listed for this composition	0	meV/atom
calculated volume	20.106	A^3/atom
total magnetic moment	2.17	μB/f.u.